CaTc2Ir: optimized geometry, PBE.

Cell: 3.085 4.472 4.780 Å, 90.00 90.00 90.00°
Positions (direct):
Ca (0.000, 0.000, 0.000)
Tc (0.000, 0.500, 0.500)
Tc (0.500, 0.000, 0.500)
Ir (0.500, 0.500, 0.000)

Computed properties:
Fermi-level density of states (states/eV per atom): 1.091
Theoretical density (kg/m3): 10784
DFT formation energy (meV per atom): 409